DFT (PBE) results for an optimized crystal structure of ZrSnS3.

a = 3.756 Å, b = 7.237 Å, c = 9.596 Å
α = 87.68°, β = 90.00°, γ = 90.00°
Element x y z (fractional)
S: 0.750 0.794 0.017
Sn: 0.750 0.454 0.187
Zr: 0.250 0.933 0.179
Sn: 0.250 0.546 0.813
S: 0.750 0.088 0.307
S: 0.250 0.912 0.693
S: 0.750 0.372 0.678
S: 0.250 0.206 0.983
S: 0.250 0.628 0.322
Zr: 0.750 0.067 0.821

Properties
Formation energy without anion corrections: -1.041 eV/atom

=====

DFT (PBE) results for an optimized crystal structure of TbNd2Tl2.

a = 3.831 Å, b = 5.479 Å, c = 14.516 Å
α = 90.00°, β = 97.60°, γ = 90.00°
Element x y z (fractional)
Tl: 0.551 0.250 0.103
Tb: 0.853 0.750 0.703
Nd: 0.952 0.250 0.904
Tl: 0.356 0.250 0.712
Tl: 0.644 0.750 0.288
Nd: 0.048 0.750 0.096
Tl: 0.449 0.750 0.897
Nd: 0.761 0.250 0.525
Tb: 0.147 0.250 0.297
Nd: 0.239 0.750 0.475

Properties
Energy above the lowest structure with this stoichiometry: 0.000 eV per atom
ΔE_f: -292 meV/atom

=====

DFT (PBE) results for an optimized crystal structure of Cs2SrZnF6.

a = 6.187 Å, b = 6.567 Å, c = 6.567 Å
α = 120.00°, β = 90.00°, γ = 90.00°
Element x y z (fractional)
Cs: 0.134 0.333 0.667
F: 0.209 0.288 0.144
F: 0.791 0.712 0.856
F: 0.791 0.144 0.856
F: 0.209 0.856 0.144
Zn: 0.000 0.000 0.000
Sr: 0.500 0.000 0.000
F: 0.791 0.144 0.288
F: 0.209 0.856 0.712
Cs: 0.866 0.667 0.333

Properties
Energy above the lowest structure with this stoichiometry: 0.060 eV per atom
Formation energy without anion corrections: -2.922 eV/atom

=====

DFT (PBE) results for an optimized crystal structure of Tl2AgHgH.

a = 5.874 Å, b = 5.874 Å, c = 3.510 Å
α = 90.00°, β = 90.00°, γ = 90.00°
Element x y z (fractional)
Ag: 0.000 0.000 0.000
H: 0.000 0.000 0.500
Tl: 0.500 0.000 0.000
Hg: 0.500 0.500 0.500
Tl: 0.000 0.500 0.000

Properties
Energy above the lowest structure with this stoichiometry: 0.047 eV per atom

=====

DFT (PBE) results for an optimized crystal structure of U3Sb2H2.

a = 3.694 Å, b = 5.496 Å, c = 7.260 Å
α = 105.80°, β = 90.00°, γ = 109.64°
Element x y z (fractional)
H: 0.903 0.807 0.805
Sb: 0.171 0.341 0.779
U: 0.591 0.183 0.401
U: 0.500 0.000 0.000
U: 0.409 0.817 0.599
Sb: 0.829 0.659 0.221
H: 0.097 0.193 0.195

=====

DFT (PBE) results for an optimized crystal structure of CaTm4Ga5.

a = 3.533 Å, b = 3.533 Å, c = 17.978 Å
α = 90.00°, β = 90.00°, γ = 90.00°
Element x y z (fractional)
Ga: 0.500 0.500 0.891
Tm: 0.000 0.000 0.402
Ga: 0.500 0.500 0.696
Ga: 0.500 0.500 0.500
Tm: 0.000 0.000 0.598
Tm: 0.000 0.000 0.205
Tm: 0.000 0.000 0.795
Ga: 0.500 0.500 0.109
Ca: 0.000 0.000 0.000
Ga: 0.500 0.500 0.304

Properties
ΔE_f: -543 meV/atom

=====

Across the entries above, total DFT energy (no corrections) takes the values -6.03, -4.07, -4.51, -2.06, -7.05, -4.05 eV per atom, respectively.
Across the entries above, magnetic moment takes the values 0.000, 0.000, 0.000, 0.000, 1.148, 0.000 μB per atom, respectively.